1.
The following is a DFT calculation (PBE) of an optimized crystal structure of PmHo2MnN4.

## Properties
- uncorrected formation energy (eV per atom) = -1.21
- DOS(E_F) (states/eV per cell) = 6.1
- VASP energy (eV/atom) = -8.255

Cell lengths 3.386, 5.956, 11.451 Å; angles 90.00, 90.00, 106.52 degrees
Sites, in units of the cell vectors:
Mn (0.843, 0.686, 0.750)
Mn (0.157, 0.314, 0.250)
N (0.000, 0.000, 0.500)
N (0.734, 0.468, 0.870)
N (0.266, 0.532, 0.130)
N (0.580, 0.159, 0.250)
N (0.420, 0.841, 0.750)
N (0.266, 0.532, 0.370)
N (0.000, 0.000, 0.000)
N (0.734, 0.468, 0.630)
Ho (0.632, 0.264, 0.456)
Ho (0.632, 0.264, 0.044)
Ho (0.368, 0.736, 0.544)
Ho (0.368, 0.736, 0.956)
Pm (0.890, 0.781, 0.250)
Pm (0.110, 0.219, 0.750)

***

2.
The following is a DFT calculation (PBE) of an optimized crystal structure of Tm2TlP.

## Properties
- DOS(E_F) (states/eV per cell) = 3.4
- VASP energy (eV/atom) = -5.079
- relative energy among the computed polymorphs (kJ/mol of atoms) = 5.0

Cell lengths 3.819, 3.819, 8.371 Å; angles 76.78, 76.78, 60.01 degrees
Sites, in units of the cell vectors:
P (0.667, 0.667, 0.998)
Tm (0.268, 0.268, 0.196)
Tm (0.065, 0.065, 0.805)
Tl (0.500, 0.500, 0.501)

***

3.
The following is a DFT calculation (PBE) of an optimized crystal structure of OsPt2Br.

## Properties
- uncorrected formation energy (eV per atom) = 0.51
- DOS(E_F) (states/eV per cell) = 4.1
- VASP energy (eV/atom) = -5.734
- relative energy among the computed polymorphs (kJ/mol of atoms) = 6.8

Cell lengths 2.782, 2.782, 9.969 Å; angles 90.00, 90.00, 90.00 degrees
Sites, in units of the cell vectors:
Pt (0.000, 0.000, 0.564)
Pt (0.000, 0.000, 0.936)
Br (0.500, 0.500, 0.250)
Os (0.500, 0.500, 0.750)

***

4.
The following is a DFT calculation (PBE) of an optimized crystal structure of ZrAsPbSe2.

## Properties
- uncorrected formation energy (eV per atom) = 0.73
- DOS(E_F) (states/eV per cell) = 4.1
- VASP energy (eV/atom) = -4.040
- relative energy among the computed polymorphs (kJ/mol of atoms) = 95.3

Cell lengths 5.309, 5.309, 5.274 Å; angles 90.00, 90.00, 90.00 degrees
Sites, in units of the cell vectors:
Zr (0.500, 0.500, 0.500)
As (0.000, 0.000, 0.500)
Se (0.000, 0.500, 0.000)
Se (0.500, 0.000, 0.000)
Pb (0.000, 0.000, 0.000)

***

5.
The following is a DFT calculation (PBE) of an optimized crystal structure of CoOs2Ru.

## Properties
- DOS(E_F) (states/eV per cell) = 4.5
- VASP energy (eV/atom) = -9.533
- relative energy among the computed polymorphs (kJ/mol of atoms) = 3.5

Cell lengths 2.677, 4.617, 5.325 Å; angles 54.70, 90.00, 90.00 degrees
Sites, in units of the cell vectors:
Os (0.500, 0.500, 0.000)
Os (0.000, 0.000, 0.000)
Co (0.000, 0.000, 0.500)
Ru (0.500, 0.500, 0.500)

***

6.
The following is a DFT calculation (PBE) of an optimized crystal structure of CeMgHg2.

## Properties
- DOS(E_F) (states/eV per cell) = 7.3
- VASP energy (eV/atom) = -2.338

Cell lengths 3.493, 3.493, 7.900 Å; angles 90.00, 90.00, 90.00 degrees
Site moments in Bohr magnetons follow the coordinates.
Sites, in units of the cell vectors:
Hg (0.000, 0.000, 0.776)  0.00
Hg (0.000, 0.000, 0.224)  0.00
Ce (0.500, 0.500, 0.500)  0.99
Mg (0.500, 0.500, 0.000)  0.00

***

What is the DOS(E_F) in the sixth record?
7.3 states/eV per cell

***

Among the records above, which one has the lowest VASP energy?
CoOs2Ru